Below is crystalline NdDy2TmBi5 at its relaxed geometry, with properties calculated at the PBE level.

POSCAR file:
```
NdDy2TmBi5
1.0
5.3522 0.0000 0.0000
0.0000 5.3522 0.0000
0.0000 0.0000 12.0708
Nd Dy Tm Bi
1 2 1 5
Cartesian
0.0000 0.0000 0.0000
2.6761 2.6761 3.1687
2.6761 2.6761 8.9021
0.0000 0.0000 6.0354
0.0000 0.0000 3.0192
0.0000 0.0000 9.0517
0.0000 2.6761 6.0354
2.6761 0.0000 6.0354
2.6761 2.6761 0.0000
```

Properties
SG: P4/mmm (123)

---

Below is crystalline Nd3DyTm2Bi6 at its relaxed geometry, with properties calculated at the PBE level.

POSCAR file:
```
Nd3DyTm2Bi6
1.0
9.8634 -2.2661 0.0000
9.8634 2.2661 0.0000
-2.0496 0.0000 8.8174
Nd Dy Tm Bi
3 1 2 6
Cartesian
0.0000 0.0000 0.0000
5.2160 0.0000 5.8833
12.4613 0.0000 2.9341
-1.0248 0.0000 4.4087
6.2314 0.0000 1.4725
11.4458 0.0000 7.3449
2.0431 0.0000 5.2039
3.1853 0.0000 0.6720
9.2850 0.0000 2.2435
8.3923 0.0000 6.5739
14.4920 0.0000 8.1454
15.6342 0.0000 3.6134
```

Properties
SG: C2/m (12)

---

Below is crystalline Nd2DyTmBi5 at its relaxed geometry, with properties calculated at the PBE level.

POSCAR file:
```
Nd2DyTmBi5
1.0
5.3830 0.0000 0.0000
0.0000 5.3830 0.0000
0.0000 0.0000 11.9303
Nd Dy Tm Bi
2 1 1 5
Cartesian
0.0000 0.0000 2.7004
0.0000 0.0000 9.2299
2.6915 2.6915 5.9652
2.6915 2.6915 0.0000
0.0000 0.0000 5.9652
0.0000 2.6915 0.0000
2.6915 0.0000 0.0000
2.6915 2.6915 3.0218
2.6915 2.6915 8.9085
```

Properties
SG: P4/mmm (123)

---

Below is crystalline Nd2DyTmBi4 at its relaxed geometry, with properties calculated at the PBE level.

POSCAR file:
```
Nd2DyTmBi4
1.0
7.8442 0.0000 0.0000
0.0000 4.5375 0.0000
-2.6215 0.0000 7.4042
Nd Dy Tm Bi
2 1 1 4
Cartesian
0.0000 0.0000 0.0000
-1.3108 2.2688 3.7021
2.6113 0.0000 3.7021
3.9221 2.2688 0.0000
1.3779 2.2688 1.8648
0.0684 0.0000 5.5911
5.1542 0.0000 1.8131
3.8447 2.2688 5.5394
```

Properties
SG: P2/m (10)

---

Below is crystalline Nd3Dy2TmBi6 at its relaxed geometry, with properties calculated at the PBE level.

POSCAR file:
```
Nd3Dy2TmBi6
1.0
9.8797 -2.2694 0.0000
9.8797 2.2694 0.0000
-2.0576 0.0000 8.8308
Nd Dy Tm Bi
3 2 1 6
Cartesian
0.0000 0.0000 0.0000
5.2056 0.0000 5.8865
12.4961 0.0000 2.9443
6.2482 0.0000 1.4737
11.4535 0.0000 7.3571
-1.0288 0.0000 4.4154
2.0263 0.0000 5.1896
3.1722 0.0000 0.6917
9.3170 0.0000 2.2719
8.3847 0.0000 6.5589
14.5295 0.0000 8.1391
15.6754 0.0000 3.6412
```

Properties
SG: C2/m (12)

---

Below is crystalline NdDy2TmBi4 at its relaxed geometry, with properties calculated at the PBE level.

POSCAR file:
```
NdDy2TmBi4
1.0
7.7921 0.0000 0.0000
0.0000 4.5037 0.0000
-2.6008 0.0000 7.3493
Nd Dy Tm Bi
1 2 1 4
Cartesian
0.0000 0.0000 0.0000
-1.3004 2.2519 3.6746
2.5957 0.0000 3.6746
3.8960 2.2519 0.0000
0.0395 0.0000 5.5058
1.3400 2.2519 1.8724
3.8513 2.2519 5.4768
5.1518 0.0000 1.8434
```

Properties
SG: P2/m (10)

---

Below is crystalline Nd2DyY3Bi6 at its relaxed geometry, with properties calculated at the PBE level.

POSCAR file:
```
Nd2DyY3Bi6
1.0
3.9203 -6.7921 0.0000
3.9203 6.7921 0.0000
-2.6150 0.0000 7.3821
Nd Dy Y Bi
2 1 3 6
Cartesian
3.9203 4.5401 0.0000
3.9203 -4.5401 0.0000
3.9203 0.0000 0.0000
-1.3075 0.0000 3.6911
2.6128 2.2984 3.6911
2.6128 -2.2984 3.6911
0.0206 2.2312 5.5048
1.3495 0.0000 1.8959
0.0206 -2.2312 5.5048
5.2051 2.2312 1.8773
3.8761 0.0000 5.4862
5.2051 -2.2312 1.8773
```

Properties
SG: C2/m (12)

---

Below is crystalline Nd2Dy3YBi6 at its relaxed geometry, with properties calculated at the PBE level.

POSCAR file:
```
Nd2Dy3YBi6
1.0
9.8536 -2.2626 0.0000
9.8536 2.2626 0.0000
-2.0639 0.0000 8.8048
Nd Dy Y Bi
2 3 1 6
Cartesian
2.5831 0.0000 2.9274
15.0602 0.0000 5.8774
1.5858 0.0000 7.3408
8.8217 0.0000 4.4024
16.0575 0.0000 1.4640
9.8536 0.0000 0.0000
-1.4965 0.0000 6.6119
4.6710 0.0000 8.1280
5.7542 0.0000 3.6266
11.8891 0.0000 5.1782
12.9723 0.0000 0.6768
19.1398 0.0000 2.1929
```

Properties
SG: C2/m (12)

---

Per-record raw total energy, eV per atom: -4.23, -5.14, -4.37, -5.15, -5.16, -5.10, -5.64, -5.32
Per-record total magnetization, μB/f.u.: 0.00, 0.00, 0.00, 0.00, 0.00, 0.00, 0.00, 0.00